Here is a geometry-optimized GaRu3N structure from the Alexandria database. Energies are from PBEsol.

Values from the calculation:
Density   10.32 g/cm³
Raw total energy   -42.44 eV per cell
Formation energy without anion corrections   -12 meV/atom
Magnetization   0.0 μB/cell

Unit cell a=3.9637 b=3.9637 c=3.9637 alpha=90.00 beta=90.00 gamma=90.00
Space group Pm-3m (No. 221)
Symmetry-distinct sites (fractional):
Ga1 0.0000 0.0000 0.0000
Ru1 0.0000 0.5000 0.5000
N1 0.5000 0.5000 0.5000